! ScInTeI2, optimized geometry, DFT PBE-GGA; values from VASP
! - Energy above the most stable polymorph in this dataset: 0 meV/atom
! - Theoretical density: 4.72 g/cm3
! - VASP energy: -3.776 eV per atom
! - E_form (uncorrected): -714 meV/atom
! - Calculated volume: 190.4 Å³ per cell
&SYSTEM
  ibrav = 0, nat = 5, ntyp = 4
/
ATOMIC_SPECIES
Sc 44.96 Sc.upf
In 114.82 In.upf
Te 127.60 Te.upf
I 126.90 I.upf
CELL_PARAMETERS angstrom
5.824 0.000 0.000
0.000 5.824 0.000
0.000 0.000 5.615
ATOMIC_POSITIONS crystal
Sc 0.000 0.000 0.000
In 0.500 0.500 0.500
Te 0.000 0.000 0.500
I 0.000 0.500 0.000
I 0.500 0.000 0.000



! LiPu2Ge4Pd3, optimized geometry, DFT PBE-GGA; values from VASP
! - Theoretical density: 9.69 g/cm3
! - VASP energy: -6.985 eV per atom
! - Calculated volume: 189.4 Å³ per cell
&SYSTEM
  ibrav = 0, nat = 10, ntyp = 4
/
ATOMIC_SPECIES
Li 6.94 Li.upf
Pu 244.00 Pu.upf
Ge 72.64 Ge.upf
Pd 106.42 Pd.upf
CELL_PARAMETERS angstrom
4.254 0.000 0.000
0.000 4.254 0.000
0.000 0.000 10.466
ATOMIC_POSITIONS crystal
Li 0.000 0.000 0.000
Pu 0.000 0.500 0.752
Pu 0.500 0.000 0.248
Ge 0.000 0.000 0.500
Ge 0.000 0.500 0.135
Ge 0.500 0.000 0.865
Ge 0.500 0.500 0.500
Pd 0.000 0.500 0.369
Pd 0.500 0.000 0.631
Pd 0.500 0.500 0.000



! TiRhSeN2, optimized geometry, DFT PBE-GGA; values from VASP
! - Energy above the most stable polymorph in this dataset: 0 meV/atom
! - Theoretical density: 5.53 g/cm3
! - VASP energy: -6.513 eV per atom
! - E_form (uncorrected): 563 meV/atom
! - Calculated volume: 77.4 Å³ per cell
&SYSTEM
  ibrav = 0, nat = 5, ntyp = 4
/
ATOMIC_SPECIES
Ti 47.87 Ti.upf
Rh 102.91 Rh.upf
Se 78.96 Se.upf
N 14.01 N.upf
CELL_PARAMETERS angstrom
3.825 0.000 0.000
0.000 3.825 0.000
0.000 0.000 5.292
ATOMIC_POSITIONS crystal
Ti 0.000 0.000 0.000
Rh 0.500 0.500 0.500
Se 0.000 0.000 0.500
N 0.000 0.500 0.000
N 0.500 0.000 0.000



! Sc3Pb, optimized geometry, DFT PBE-GGA; values from VASP
! - Theoretical density: 6.03 g/cm3
! - VASP energy: -5.791 eV per atom
! - Calculated volume: 94.2 Å³ per cell
&SYSTEM
  ibrav = 0, nat = 4, ntyp = 2
/
ATOMIC_SPECIES
Sc 44.96 Sc.upf
Pb 207.20 Pb.upf
CELL_PARAMETERS angstrom
0.000 3.611 3.611
3.611 0.000 3.611
3.611 3.611 0.000
ATOMIC_POSITIONS crystal
Sc 0.000 0.000 0.000
Sc 0.250 0.250 0.250
Sc 0.750 0.750 0.750
Pb 0.500 0.500 0.500



! MgZrIr2, optimized geometry, DFT PBE-GGA; values from VASP
! - Theoretical density: 12.12 g/cm3
! - VASP energy: -7.374 eV per atom
! - Calculated volume: 68.5 Å³ per cell
&SYSTEM
  ibrav = 0, nat = 4, ntyp = 3
/
ATOMIC_SPECIES
Mg 24.30 Mg.upf
Zr 91.22 Zr.upf
Ir 192.22 Ir.upf
CELL_PARAMETERS angstrom
2.993 0.000 0.000
0.000 4.180 0.000
0.000 0.000 5.474
ATOMIC_POSITIONS crystal
Mg 0.000 0.000 0.000
Zr 0.500 0.500 0.316
Ir 0.000 0.000 0.514
Ir 0.500 0.500 0.829



! YZrSe2, optimized geometry, DFT PBE-GGA; values from VASP
! - Energy above the most stable polymorph in this dataset: 395 meV/atom
! - Theoretical density: 5.13 g/cm3
! - VASP energy: -6.557 eV per atom
! - E_form (uncorrected): -1061 meV/atom
! - Calculated volume: 109.5 Å³ per cell
&SYSTEM
  ibrav = 0, nat = 4, ntyp = 3
/
ATOMIC_SPECIES
Y 88.91 Y.upf
Zr 91.22 Zr.upf
Se 78.96 Se.upf
CELL_PARAMETERS angstrom
1.878 1.084 8.961
-1.878 1.084 8.961
0.000 -2.169 8.961
ATOMIC_POSITIONS crystal
Y 0.000 0.000 0.000
Zr 0.500 0.500 0.500
Se 0.105 0.105 0.105
Se 0.895 0.895 0.895



! K2TlAu2, optimized geometry, DFT PBE-GGA; values from VASP
! - Energy above the most stable polymorph in this dataset: 279 meV/atom
! - Theoretical density: 6.50 g/cm3
! - VASP energy: -2.227 eV per atom
! - Calculated volume: 172.8 Å³ per cell
&SYSTEM
  ibrav = 0, nat = 5, ntyp = 3
/
ATOMIC_SPECIES
K 39.10 K.upf
Tl 204.38 Tl.upf
Au 196.97 Au.upf
CELL_PARAMETERS angstrom
-2.495 2.495 6.943
2.495 -2.495 6.943
2.495 2.495 -6.943
ATOMIC_POSITIONS crystal
K 0.250 0.750 0.500
K 0.750 0.250 0.500
Tl 0.000 0.000 0.000
Au 0.402 0.402 0.000
Au 0.598 0.598 0.000



! KCO2F, optimized geometry, DFT PBE-GGA; values from VASP
! - Theoretical density: 1.26 g/cm3
! - VASP energy: -2.742 eV per atom
! - E_form (uncorrected): 1680 meV/atom
! - Calculated volume: 134.2 Å³ per cell
&SYSTEM
  ibrav = 0, nat = 5, ntyp = 4
/
ATOMIC_SPECIES
K 39.10 K.upf
C 12.01 C.upf
O 16.00 O.upf
F 19.00 F.upf
CELL_PARAMETERS angstrom
5.265 0.000 0.000
0.000 5.265 0.000
0.000 0.000 4.843
ATOMIC_POSITIONS crystal
K 0.000 0.000 0.000
C 0.500 0.500 0.500
O 0.000 0.500 0.000
O 0.500 0.000 0.000
F 0.000 0.000 0.500



! SrTlSbTe2, optimized geometry, DFT PBE-GGA; values from VASP
! - Energy above the most stable polymorph in this dataset: 0 meV/atom
! - Theoretical density: 5.69 g/cm3
! - VASP energy: -2.937 eV per atom
! - E_form (uncorrected): -47 meV/atom
! - Calculated volume: 195.3 Å³ per cell
&SYSTEM
  ibrav = 0, nat = 5, ntyp = 4
/
ATOMIC_SPECIES
Sr 87.62 Sr.upf
Tl 204.38 Tl.upf
Sb 121.76 Sb.upf
Te 127.60 Te.upf
CELL_PARAMETERS angstrom
5.931 0.000 0.000
0.000 5.931 0.000
0.000 0.000 5.552
ATOMIC_POSITIONS crystal
Sr 0.000 0.000 0.000
Tl 0.500 0.500 0.500
Sb 0.500 0.500 0.000
Te 0.000 0.500 0.500
Te 0.500 0.000 0.500



! TlIn2GaCo, optimized geometry, DFT PBE-GGA; values from VASP
! - Theoretical density: 7.96 g/cm3
! - VASP energy: -3.596 eV per atom
! - Calculated volume: 117.4 Å³ per cell
&SYSTEM
  ibrav = 0, nat = 5, ntyp = 4
/
ATOMIC_SPECIES
Tl 204.38 Tl.upf
In 114.82 In.upf
Ga 69.72 Ga.upf
Co 58.93 Co.upf
CELL_PARAMETERS angstrom
5.013 0.000 0.000
0.000 5.013 0.000
0.000 0.000 4.671
ATOMIC_POSITIONS crystal
Tl 0.000 0.000 0.000
In 0.000 0.500 0.500
In 0.500 0.000 0.500
Ga 0.500 0.500 0.000
Co 0.500 0.500 0.500



! Zr2ScHg2, optimized geometry, DFT PBE-GGA; values from VASP
! - Energy above the most stable polymorph in this dataset: 0 meV/atom
! - Theoretical density: 9.46 g/cm3
! - VASP energy: -5.007 eV per atom
! - Calculated volume: 220.6 Å³ per cell
&SYSTEM
  ibrav = 0, nat = 10, ntyp = 3
/
ATOMIC_SPECIES
Zr 91.22 Zr.upf
Sc 44.96 Sc.upf
Hg 200.59 Hg.upf
CELL_PARAMETERS angstrom
3.269 0.000 0.000
0.000 5.044 0.000
-1.654 0.000 13.381
ATOMIC_POSITIONS crystal
Zr 0.034 0.250 0.077
Zr 0.235 0.250 0.470
Zr 0.765 0.750 0.530
Zr 0.966 0.750 0.923
Sc 0.157 0.750 0.317
Sc 0.843 0.250 0.683
Hg 0.367 0.750 0.730
Hg 0.440 0.250 0.878
Hg 0.560 0.750 0.122
Hg 0.633 0.250 0.270



! Li2HfIF, optimized geometry, DFT PBE-GGA; values from VASP
! - Theoretical density: 5.57 g/cm3
! - VASP energy: -4.150 eV per atom
! - E_form (uncorrected): -709 meV/atom
! - Calculated volume: 100.8 Å³ per cell
&SYSTEM
  ibrav = 0, nat = 5, ntyp = 4
/
ATOMIC_SPECIES
Li 6.94 Li.upf
Hf 178.49 Hf.upf
I 126.90 I.upf
F 19.00 F.upf
CELL_PARAMETERS angstrom
4.019 0.000 0.000
0.000 4.019 0.000
0.000 0.000 6.239
ATOMIC_POSITIONS crystal
Li 0.000 0.500 0.000
Li 0.500 0.000 0.000
Hf 0.000 0.000 0.500
I 0.500 0.500 0.500
F 0.500 0.500 0.000